Entry 1:
TiPd | GGA-PBE | optimized geometry

Output
- ΔH_f (0 K): -203 meV per atom
- M_tot: 0.0 μB/cell

Cell and atoms, written as POSCAR:
```
TiPd
1.0
-4.900 4.900 1.427
4.900 -4.900 1.427
4.900 4.900 -1.427
Ti Pd
4 4
direct
0.103 0.358 0.461
0.358 0.897 0.256
0.642 0.103 0.744
0.897 0.642 0.539
0.095 0.827 0.922
0.173 0.095 0.269
0.827 0.905 0.731
0.905 0.173 0.078
```

***

Entry 2:
TiPd4 | GGA-PBE | optimized geometry

Output
- ΔH_f (0 K): -446 meV per atom
- M_tot: 0.0 μB/cell

Cell and atoms, written as POSCAR:
```
TiPd4
1.0
-2.028 2.750 6.965
2.028 -2.750 6.965
2.028 2.750 -6.965
Ti Pd
2 8
direct
0.356 0.106 0.250
0.644 0.894 0.750
0.000 0.500 0.500
0.153 0.903 0.250
0.193 0.691 0.502
0.312 0.309 0.002
0.500 0.500 0.000
0.688 0.691 0.998
0.807 0.309 0.498
0.847 0.097 0.750
```

***

Entry 3:
TiPd | GGA-PBE | optimized geometry

Output
- ΔH_f (0 K): -530 meV per atom
- M_tot: 0.0 μB/cell

Cell and atoms, written as POSCAR:
```
TiPd
1.0
2.850 0.000 0.000
0.000 2.850 0.000
0.000 0.000 3.842
Ti Pd
1 1
direct
0.000 0.000 0.000
0.500 0.500 0.500
```

***

Entry 4:
TiPd | GGA-PBE | optimized geometry

Output
- ΔH_f (0 K): 157 meV per atom
- M_tot: 0.0 μB/cell

Cell and atoms, written as POSCAR:
```
TiPd
1.0
4.362 0.000 0.000
-2.181 3.778 0.000
0.000 0.000 5.139
Ti Pd
2 2
direct
0.333 0.667 0.250
0.667 0.333 0.750
0.333 0.667 0.750
0.667 0.333 0.250
```

***

Entry 5:
Ti4Pd | GGA-PBE | optimized geometry

Output
- ΔH_f (0 K): -233 meV per atom
- M_tot: 0.0 μB/cell
- E above lowest polymorph: 0.00 eV per formula unit

Cell and atoms, written as POSCAR:
```
Ti4Pd
1.0
-1.550 1.550 8.608
1.550 -1.550 8.608
1.550 1.550 -8.608
Ti Pd
4 1
direct
0.096 0.096 0.000
0.304 0.304 0.000
0.696 0.696 0.000
0.904 0.904 0.000
0.500 0.500 0.000
```

***

Entry 6:
Ti3Pd2 | GGA-PBE | optimized geometry

Output
- ΔH_f (0 K): -433 meV per atom
- M_tot: 0.1 μB/cell

Cell and atoms, written as POSCAR:
```
Ti3Pd2
1.0
2.882 0.000 0.000
0.000 2.882 0.000
0.000 0.000 19.194
Ti Pd
6 4
direct
0.000 0.000 0.000
0.000 0.000 0.198
0.000 0.000 0.395
0.000 0.000 0.605
0.000 0.000 0.802
0.500 0.500 0.500
0.500 0.500 0.099
0.500 0.500 0.297
0.500 0.500 0.703
0.500 0.500 0.901
```

***

Entry 7:
TiPd | GGA-PBE | optimized geometry

Output
- ΔH_f (0 K): -539 meV per atom
- M_tot: 0.0 μB/cell

Cell and atoms, written as POSCAR:
```
TiPd
1.0
2.807 0.000 0.000
0.000 4.583 0.000
-0.211 0.000 4.891
Ti Pd
2 2
direct
0.037 0.250 0.298
0.963 0.750 0.702
0.491 0.250 0.812
0.509 0.750 0.188
```

***

Entry 8:
TiPd | GGA-PBE | optimized geometry

Output
- ΔH_f (0 K): 664 meV per atom
- M_tot: 3.7 μB/cell

Cell and atoms, written as POSCAR:
```
TiPd
1.0
7.016 0.000 0.000
0.000 7.016 0.000
0.000 0.000 7.016
Ti Pd
6 6
direct
0.000 0.250 0.500
0.000 0.750 0.500
0.250 0.500 0.000
0.500 0.000 0.250
0.500 0.000 0.750
0.750 0.500 0.000
0.000 0.500 0.250
0.000 0.500 0.750
0.250 0.000 0.500
0.500 0.250 0.000
0.500 0.750 0.000
0.750 0.000 0.500
```